# 1
The following is a DFT calculation (GGA-PBE) of an optimized crystal structure of Ta2H3Ir.

```
data_Ta2H3Ir
_symmetry_space_group_name_H-M 'C 1 2/m 1'
_symmetry_Int_Tables_number 12
_cell_length_a 12.198
_cell_length_b 2.923
_cell_length_c 7.087
_cell_angle_alpha 90.00
_cell_angle_beta 110.12
_cell_angle_gamma 90.00
loop_
_symmetry_equiv_pos_as_xyz
'x,y,z'
'-x,-y,-z'
'-x,y,-z'
'x,-y,z'
'x+1/2,y+1/2,z'
'-x+1/2,-y+1/2,-z'
'-x+1/2,y+1/2,-z'
'x+1/2,-y+1/2,z'
loop_
_atom_site_label
_atom_site_fract_x
_atom_site_fract_y
_atom_site_fract_z
Ta1 0.029 0.000 0.210
Ta2 0.186 0.500 0.655
H1 0.053 0.500 0.400
H2 0.079 0.000 0.640
H3 0.185 0.000 0.459
Ir1 0.162 0.500 0.032
```

Output
The density of states at the Fermi level comes out at 7.38 states/eV/cell. The calculation puts the size of the total moment at 0.000 μB/cell. Its total energy is -7.364 eV/atom.



# 2
The following is a DFT calculation (GGA-PBE) of an optimized crystal structure of TaH3Ir.

```
data_TaH3Ir
_symmetry_space_group_name_H-M 'P m -3 m'
_symmetry_Int_Tables_number 221
_symmetry_space_group_name_Hall '-P 4 2 3'
_cell_length_a 3.538
_cell_length_b 3.538
_cell_length_c 3.538
_cell_angle_alpha 90.00
_cell_angle_beta 90.00
_cell_angle_gamma 90.00
loop_
_atom_site_label
_atom_site_fract_x
_atom_site_fract_y
_atom_site_fract_z
Ta1 0.000 0.000 0.000
H1 0.000 0.000 0.500
Ir1 0.500 0.500 0.500
```

Output
The density of states at the Fermi level comes out at 4.90 states/eV/cell. The calculation puts the size of the total moment at 0.570 μB/cell. Its total energy is -5.625 eV/atom.



- The highest size of the total moment belongs to which entry?
  TaH3Ir